! PrInBr PBE optimized geometry; values from VASP
&SYSTEM
  ibrav = 0, nat = 6, ntyp = 3
/
ATOMIC_SPECIES
Pr 140.91 Pr.upf
In 114.82 In.upf
Br 79.90 Br.upf
CELL_PARAMETERS angstrom
-1.7320 2.7227 9.9820
1.7320 -2.7227 9.9820
1.7320 2.7227 -9.9820
ATOMIC_POSITIONS crystal
Pr 0.1554 0.1554 0.0000
Pr 0.8446 0.8446 0.0000
In 0.2507 0.0000 0.2507
In 0.7493 0.0000 0.7493
Br 0.3113 0.3113 0.0000
Br 0.6887 0.6887 0.0000
! total magnetic moment: 0.00 μB per formula unit
! total energy: -22.09 eV per cell

***

! RbLi2Ga2B3O9 PBE optimized geometry; values from VASP
&SYSTEM
  ibrav = 0, nat = 34, ntyp = 5
/
ATOMIC_SPECIES
Rb 85.47 Rb.upf
Li 6.94 Li.upf
Ga 69.72 Ga.upf
B 10.81 B.upf
O 16.00 O.upf
CELL_PARAMETERS angstrom
6.5062 0.0000 0.0000
0.0000 5.0087 0.0000
-0.6556 0.0000 12.9377
ATOMIC_POSITIONS crystal
Rb 0.0000 0.2120 0.2500
Rb 0.0000 0.7880 0.7500
Li 0.4968 0.1700 0.3670
Li 0.4968 0.8300 0.8670
Li 0.5032 0.1700 0.1330
Li 0.5032 0.8300 0.6330
Ga 0.2342 0.3143 0.5639
Ga 0.2342 0.6857 0.0639
Ga 0.7658 0.3143 0.9361
Ga 0.7658 0.6857 0.4361
B 0.1907 0.1825 0.9591
B 0.1907 0.8175 0.4591
B 0.5000 0.3365 0.7500
B 0.5000 0.6635 0.2500
B 0.8093 0.1825 0.5409
B 0.8093 0.8175 0.0409
O 0.0361 0.2902 0.8953
O 0.0361 0.7098 0.3953
O 0.2453 0.0866 0.4493
O 0.2453 0.9134 0.9493
O 0.2974 0.3333 0.0339
O 0.2974 0.6667 0.5339
O 0.4012 0.1806 0.6713
O 0.4012 0.8194 0.1713
O 0.5000 0.3959 0.2500
O 0.5000 0.6041 0.7500
O 0.5988 0.1806 0.8287
O 0.5988 0.8194 0.3287
O 0.7026 0.3333 0.4661
O 0.7026 0.6667 0.9661
O 0.7547 0.0866 0.0507
O 0.7547 0.9134 0.5507
O 0.9639 0.2902 0.6047
O 0.9639 0.7098 0.1047
! total magnetic moment: 0.05 μB per formula unit
! total energy: -226.84 eV per cell

***

! Cr2TeRu PBE optimized geometry; values from VASP
&SYSTEM
  ibrav = 0, nat = 8, ntyp = 3
/
ATOMIC_SPECIES
Cr 52.00 Cr.upf
Te 127.60 Te.upf
Ru 101.07 Ru.upf
CELL_PARAMETERS angstrom
-3.4892 3.4892 2.6426
3.4892 -3.4892 2.6426
3.4892 3.4892 -2.6426
ATOMIC_POSITIONS crystal
Cr 0.1008 0.1250 0.4758
Cr 0.3750 0.8992 0.0242
Cr 0.6492 0.6250 0.5242
Cr 0.8750 0.3508 0.9758
Te 0.2500 0.7500 0.5000
Te 0.5000 0.5000 0.0000
Ru 0.0000 0.0000 0.0000
Ru 0.7500 0.2500 0.5000
! total magnetic moment: 0.00 μB per formula unit
! total energy: -57.33 eV per cell

***

! Ti2GaAu PBE optimized geometry; values from VASP
&SYSTEM
  ibrav = 0, nat = 8, ntyp = 3
/
ATOMIC_SPECIES
Ti 47.87 Ti.upf
Ga 69.72 Ga.upf
Au 196.97 Au.upf
CELL_PARAMETERS angstrom
-3.6286 3.6286 2.7357
3.6286 -3.6286 2.7357
3.6286 3.6286 -2.7357
ATOMIC_POSITIONS crystal
Ti 0.1237 0.1250 0.4987
Ti 0.3750 0.8763 0.0013
Ti 0.6263 0.6250 0.5013
Ti 0.8750 0.3737 0.9987
Ga 0.2500 0.7500 0.5000
Ga 0.5000 0.5000 0.0000
Au 0.0000 0.0000 0.0000
Au 0.7500 0.2500 0.5000
! total magnetic moment: 0.00 μB per formula unit
! calculated formation energy: -9 kJ/mol of formula units

***

! Sm4Er7Tm PBE optimized geometry; values from VASP
&SYSTEM
  ibrav = 0, nat = 12, ntyp = 3
/
ATOMIC_SPECIES
Sm 150.36 Sm.upf
Er 167.26 Er.upf
Tm 168.93 Tm.upf
CELL_PARAMETERS angstrom
6.4970 0.0000 0.0000
0.9711 6.7046 0.0000
2.0104 0.4713 8.7669
ATOMIC_POSITIONS crystal
Sm 0.1384 0.3091 0.2845
Sm 0.3389 0.8827 0.6931
Sm 0.6611 0.1173 0.3069
Sm 0.8616 0.6909 0.7155
Er 0.0115 0.2529 0.9504
Er 0.1826 0.7998 0.3577
Er 0.3119 0.3932 0.6165
Er 0.5000 0.0000 0.0000
Er 0.6881 0.6068 0.3835
Er 0.8174 0.2002 0.6423
Er 0.9885 0.7471 0.0496
Tm 0.5000 0.5000 0.0000
! total magnetic moment: 0.00 μB per formula unit
! calculated formation energy: 104 kJ/mol of formula units

***

! SbPd4Se PBE optimized geometry; values from VASP
&SYSTEM
  ibrav = 0, nat = 12, ntyp = 3
/
ATOMIC_SPECIES
Sb 121.76 Sb.upf
Pd 106.42 Pd.upf
Se 78.96 Se.upf
CELL_PARAMETERS angstrom
3.3125 -4.3746 0.0000
3.3125 4.3746 0.0000
-3.2368 0.0000 7.4685
ATOMIC_POSITIONS crystal
Sb 0.1251 0.8749 0.7500
Sb 0.8749 0.1251 0.2500
Pd 0.0587 0.7855 0.0531
Pd 0.2145 0.9413 0.4469
Pd 0.2652 0.4921 0.5527
Pd 0.4921 0.2652 0.0527
Pd 0.5079 0.7348 0.9473
Pd 0.7348 0.5079 0.4473
Pd 0.7855 0.0587 0.5531
Pd 0.9413 0.2145 0.9469
Se 0.3753 0.6247 0.2500
Se 0.6247 0.3753 0.7500
! total magnetic moment: 0.00 μB per formula unit
! total energy: -60.02 eV per cell

***

Q: Look up the total magnetic moment of the third one.
A: 0.00 μB per formula unit

***

Q: What is the formula in the second record?
A: RbLi2Ga2B3O9